First-principles (PBE-GGA) data for Mn3Au4 after structural relaxation, as listed in Alexandria.

Cell and atoms, written as POSCAR:
```
Mn3Au4
1.0
3.407 0.000 0.000
0.000 3.407 0.000
0.000 0.000 20.278
Mn Au
6 8
Cartesian
0.000 0.000 0.000 Mn
0.000 0.000 5.850 Mn
0.000 0.000 14.428 Mn
1.704 1.704 4.289 Mn
1.704 1.704 10.139 Mn
1.704 1.704 15.989 Mn
0.000 0.000 3.056 Au
0.000 0.000 8.729 Au
0.000 0.000 11.549 Au
0.000 0.000 17.222 Au
1.704 1.704 1.410 Au
1.704 1.704 7.083 Au
1.704 1.704 13.195 Au
1.704 1.704 18.868 Au
```

Calculated values
Offset from the most stable computed form: 0 meV per atom
Space-group type: I4/mmm
Density of states at the Fermi level: 9.9 states/eV/cell
DFT formation energy: 0.0010 eV per atom

---

First-principles (PBE-GGA) data for MnAu after structural relaxation, as listed in Alexandria.

Cell and atoms, written as POSCAR:
```
MnAu
1.0
2.834 0.000 0.000
0.000 13.491 0.000
0.000 0.000 5.413
Mn Au
6 6
Cartesian
0.708 1.067 0.742 Mn
0.708 3.373 2.343 Mn
0.708 5.679 0.742 Mn
2.125 7.812 4.671 Mn
2.125 10.118 3.070 Mn
2.125 12.424 4.671 Mn
0.708 1.027 3.525 Au
0.708 5.719 3.525 Au
0.708 10.118 0.171 Au
2.125 3.373 5.242 Au
2.125 7.772 1.888 Au
2.125 12.464 1.888 Au
```

Calculated values
Space-group type: Pmmn
Density of states at the Fermi level: 6.8 states/eV/cell
DFT formation energy: 0.2318 eV per atom

---

First-principles (PBE-GGA) data for Mn2Au5 after structural relaxation, as listed in Alexandria.

Cell and atoms, written as POSCAR:
```
Mn2Au5
1.0
9.323 0.000 0.000
0.000 3.879 0.000
-0.857 0.000 6.636
Mn Au
4 10
Cartesian
0.524 0.000 1.446 Mn
3.280 1.940 5.190 Mn
5.185 1.940 1.446 Mn
7.942 0.000 5.190 Mn
-0.429 1.940 3.318 Au
0.471 1.940 6.188 Au
1.451 0.000 4.285 Au
2.353 1.940 2.350 Au
3.333 0.000 0.448 Au
4.233 0.000 3.318 Au
5.133 0.000 6.188 Au
6.112 1.940 4.285 Au
7.015 0.000 2.350 Au
7.995 1.940 0.448 Au
```

Calculated values
Offset from the most stable computed form: 0 meV per atom
Space-group type: C2/m
Density of states at the Fermi level: 4.7 states/eV/cell
DFT formation energy: -0.0784 eV per atom

---

First-principles (PBE-GGA) data for MnAu after structural relaxation, as listed in Alexandria.

Cell and atoms, written as POSCAR:
```
MnAu
1.0
3.040 0.000 0.000
-1.520 2.633 0.000
0.000 0.000 8.506
Mn Au
2 2
Cartesian
0.000 0.000 0.000 Mn
0.000 0.000 4.253 Mn
0.000 1.755 2.126 Au
1.520 0.878 6.379 Au
```

Calculated values
Space-group type: P6_3/mmc
Density of states at the Fermi level: 1.5 states/eV/cell
DFT formation energy: 0.1398 eV per atom

---

First-principles (PBE-GGA) data for Mn3Au after structural relaxation, as listed in Alexandria.

Cell and atoms, written as POSCAR:
```
Mn3Au
1.0
3.951 0.000 0.000
0.000 3.951 0.000
0.000 0.000 3.951
Mn Au
3 1
Cartesian
0.000 0.000 1.976 Mn
0.000 1.976 0.000 Mn
1.976 0.000 0.000 Mn
1.976 1.976 1.976 Au
```

Calculated values
Space-group type: Pm-3m
Density of states at the Fermi level: 4.0 states/eV/cell
DFT formation energy: 0.2500 eV per atom

---

First-principles (PBE-GGA) data for MnAu5 after structural relaxation, as listed in Alexandria.

Cell and atoms, written as POSCAR:
```
MnAu5
1.0
2.991 0.000 0.000
0.000 2.991 0.000
0.000 0.000 11.794
Mn Au
1 5
Cartesian
0.000 0.000 0.000 Mn
0.000 0.000 3.860 Au
0.000 0.000 7.933 Au
1.495 1.495 1.778 Au
1.495 1.495 5.897 Au
1.495 1.495 10.016 Au
```

Calculated values
Space-group type: P4/mmm
Density of states at the Fermi level: 2.3 states/eV/cell
DFT formation energy: -0.0182 eV per atom